Entry 1:
# Hf8Tl2Sb

Hf8Tl2Sb after structural relaxation (PBE, the Alexandria database). Values from VASP.

Properties
The uncorrected formation energy is 0.130 eV per atom.

Structure (Quantum ESPRESSO input):
```
&SYSTEM
  ibrav = 0, nat = 11, ntyp = 3
/
ATOMIC_SPECIES
Hf 178.49 Hf.upf
Tl 204.38 Tl.upf
Sb 121.76 Sb.upf
CELL_PARAMETERS angstrom
3.870 -6.758 0.000
3.870 6.758 0.000
-2.271 0.000 4.875
ATOMIC_POSITIONS angstrom
Hf 0.098 1.473 3.228
Hf 3.870 3.799 0.000
Hf 0.098 -1.473 3.228
Hf 2.707 0.000 0.982
Hf 2.761 0.000 3.893
Hf 5.371 1.473 1.647
Hf 3.870 -3.799 0.000
Hf 5.371 -1.473 1.647
Tl 2.734 2.633 2.437
Tl 2.734 -2.633 2.437
Sb 0.000 0.000 0.000
```

=====

Entry 2:
# ZrSc2TlNi

ZrSc2TlNi after structural relaxation (PBE, the Alexandria database). Values from VASP.

Properties
As for the energy of formation from the pure elements: -0.4 eV per formula unit.

Structure (Quantum ESPRESSO input):
```
&SYSTEM
  ibrav = 0, nat = 5, ntyp = 4
/
ATOMIC_SPECIES
Zr 91.22 Zr.upf
Sc 44.96 Sc.upf
Tl 204.38 Tl.upf
Ni 58.69 Ni.upf
CELL_PARAMETERS angstrom
4.874 0.000 0.000
0.000 4.874 0.000
0.000 0.000 4.881
ATOMIC_POSITIONS angstrom
Zr 0.000 0.000 0.000
Sc 0.000 2.437 2.441
Sc 2.437 0.000 2.441
Tl 2.437 2.437 0.000
Ni 0.000 0.000 2.441
```

=====

Entry 3:
# TbNdYAl

TbNdYAl after structural relaxation (PBE, the Alexandria database). Values from VASP.

Properties
As for the energy of formation from the pure elements: -0.2 eV per formula unit.

Structure (Quantum ESPRESSO input):
```
&SYSTEM
  ibrav = 0, nat = 4, ntyp = 4
/
ATOMIC_SPECIES
Tb 158.93 Tb.upf
Nd 144.24 Nd.upf
Y 88.91 Y.upf
Al 26.98 Al.upf
CELL_PARAMETERS angstrom
0.000 3.834 3.834
3.834 0.000 3.834
3.834 3.834 0.000
ATOMIC_POSITIONS angstrom
Tb 0.000 0.000 0.000
Nd 1.917 1.917 1.917
Y 5.752 5.752 5.752
Al 3.834 3.834 3.834
```

=====

| no. | calculated density (Mg/m³) | magnetization (μB per atom) |
| --- | --- | --- |
| 1 | 12.8 | 0.0000 |
| 2 | 6.4 | 0.0000 |
| 3 | 6.2 | 0.2251 |